A:
RbZn3Se: optimized geometry, PBE-GGA.

Cell and atoms, written as POSCAR:
```
RbZn3Se
1.0
-0.4768 0.9263 5.2995
3.5876 -3.9097 1.0062
4.0089 3.6091 -0.2702
Zn Se Rb
3 1 1
Cartesian
1.7938 -1.9549 0.5031 Zn
2.0044 1.8045 -0.1351 Zn
-0.2384 0.4632 2.6497 Zn
0.0000 0.0000 0.0000 Se
3.5599 0.3128 3.0177 Rb
```

Summary:
As for the density of states at the Fermi level: 3.991 states/eV/cell. For the size of the total moment, the calculation gives 0.00 μB per cell.

B:
RbZn3Se: optimized geometry, PBE-GGA.

Cell and atoms, written as POSCAR:
```
RbZn3Se
1.0
-2.0964 4.7947 -3.9737
-3.1428 -4.4343 -3.6924
-5.3761 0.7226 3.7081
Zn Se Rb
3 1 1
Cartesian
-1.5714 -2.2172 -1.8462 Zn
-2.6881 0.3613 1.8540 Zn
-1.0482 2.3973 -1.9869 Zn
-5.3076 0.5415 -1.9791 Se
0.0000 0.0000 0.0000 Rb
```

Summary:
As for the density of states at the Fermi level: 8.763 states/eV/cell. For the size of the total moment, the calculation gives 1.00 μB per cell.

Name the least stable of them. B.

A:
Rb2ZnSe: optimized geometry, PBE-GGA.

Cell and atoms, written as POSCAR:
```
Rb2ZnSe
1.0
0.0000 4.1546 4.1546
4.1546 0.0000 4.1546
4.1546 4.1546 0.0000
Zn Se Rb
1 1 2
Cartesian
0.0000 0.0000 0.0000 Zn
4.1546 4.1546 4.1546 Se
2.0773 2.0773 2.0773 Rb
6.2320 6.2320 6.2320 Rb
```

Summary:
As for the density of states at the Fermi level: 0.000 states/eV/cell. For the size of the total moment, the calculation gives 0.00 μB per cell.

B:
Rb2ZnSe: optimized geometry, PBE-GGA.

Cell and atoms, written as POSCAR:
```
Rb2ZnSe
1.0
-4.4484 -5.3735 -0.9802
4.9180 -3.3902 -3.7342
3.5050 -8.5678 5.7500
Zn Se Rb
2 2 4
Cartesian
0.2348 -4.3818 -2.3572 Zn
4.3288 -8.1699 -0.1707 Zn
0.0000 0.0000 0.0000 Se
-0.3544 -9.1616 1.2063 Se
-1.5830 -6.2790 0.2934 Rb
3.6876 -4.5777 -0.9542 Rb
2.4800 -9.4884 2.7912 Rb
3.3643 -14.3180 -0.0592 Rb
```

Summary:
As for the density of states at the Fermi level: 0.000 states/eV/cell. For the size of the total moment, the calculation gives 0.00 μB per cell.

Name the least stable of them. B.

A:
RbZr3Se: optimized geometry, PBE-GGA.

Cell and atoms, written as POSCAR:
```
RbZr3Se
1.0
5.2175 0.0000 0.0000
0.0000 5.2175 0.0000
0.0000 0.0000 5.2175
Se Rb Zr
1 1 3
Cartesian
0.0000 0.0000 0.0000 Se
2.6088 2.6088 2.6088 Rb
0.0000 2.6088 0.0000 Zr
0.0000 0.0000 2.6088 Zr
2.6088 0.0000 0.0000 Zr
```

Summary:
As for the density of states at the Fermi level: 3.954 states/eV/cell. For the size of the total moment, the calculation gives 0.00 μB per cell.

B:
RbZr3Se: optimized geometry, PBE-GGA.

Cell and atoms, written as POSCAR:
```
RbZr3Se
1.0
5.0775 0.0000 0.0000
0.0000 5.0775 0.0000
0.0000 0.0000 5.0775
Se Rb Zr
1 1 3
Cartesian
2.5387 2.5387 2.5387 Se
0.0000 0.0000 0.0000 Rb
0.0000 2.5387 0.0000 Zr
0.0000 0.0000 2.5387 Zr
2.5387 0.0000 0.0000 Zr
```

Summary:
As for the density of states at the Fermi level: 4.437 states/eV/cell. For the size of the total moment, the calculation gives 1.62 μB per cell.

Name the least stable of them. B.